1.
Material: KTlMo2
Method: DFT, PBE
State: relaxed

- energy relative to the elements (eV/atom) = 1.215
- uncorrected energy (eV/atom) = -5.07
- energy above the most stable polymorph in this dataset (eV per atom) = 0.627

The structure in CIF format:
```
data_KTlMo2
_cell_length_a 2.835
_cell_length_b 5.326
_cell_length_c 11.530
_cell_angle_alpha 90.00
_cell_angle_beta 90.00
_cell_angle_gamma 90.00
_symmetry_space_group_name_H-M 'I m m m'
_symmetry_Int_Tables_number 71
_symmetry_space_group_name_Hall '-I 2 2'
loop_
_atom_site_label
_atom_site_type_symbol
_atom_site_fract_x
_atom_site_fract_y
_atom_site_fract_z
K1 K 0.000 0.000 0.000
Tl1 Tl 0.000 0.000 0.500
Mo1 Mo 0.000 0.500 0.224
```



2.
Material: SrSc2Ni
Method: DFT, PBE
State: relaxed

- energy relative to the elements (eV/atom) = 0.429
- uncorrected energy (eV/atom) = -4.60
- energy above the most stable polymorph in this dataset (eV per atom) = 0.471

The structure in CIF format:
```
data_SrSc2Ni
_cell_length_a 6.102
_cell_length_b 10.980
_cell_length_c 3.310
_cell_angle_alpha 90.00
_cell_angle_beta 119.12
_cell_angle_gamma 90.00
_symmetry_space_group_name_H-M 'C 1 2/m 1'
_symmetry_Int_Tables_number 12
loop_
_symmetry_equiv_pos_as_xyz
'x,y,z'
'-x,-y,-z'
'-x,y,-z'
'x,-y,z'
'x+1/2,y+1/2,z'
'-x+1/2,-y+1/2,-z'
'-x+1/2,y+1/2,-z'
'x+1/2,-y+1/2,z'
loop_
_atom_site_label
_atom_site_type_symbol
_atom_site_fract_x
_atom_site_fract_y
_atom_site_fract_z
Sr1 Sr 0.000 0.000 0.000
Sc1 Sc 0.250 0.250 0.500
Ni1 Ni 0.000 0.500 0.000
```



no.,total magnetic moment (μB/cell)
1,0.00
2,0.00